# 1
Compound: Na2In2Bi
Source: Alexandria
Functional: PBE-GGA
Structure: relaxed

DOS at the Fermi energy: 0.33 states/eV per atom
energy relative to the lowest polymorph listed for this composition: 0.0 kJ/mol of formula units
ΔH_f (0 K): -19 kJ/mol of atoms
space-group type: No. 10

abc: 3.529 5.084 8.277
angles: 107.77 90.00 90.00
Atoms (fractional coordinates):
In (0.000, 0.202, 0.404)
In (0.000, 0.798, 0.596)
Na (0.500, 0.395, 0.791)
Na (0.500, 0.605, 0.209)
Bi (0.000, 0.000, 0.000)

---

# 2
Compound: ZrSnAu2
Source: Alexandria
Functional: PBE-GGA
Structure: relaxed

DOS at the Fermi energy: 0.53 states/eV per atom
ΔH_f (0 K): -33 kJ/mol of atoms
space-group type: No. 123

abc: 3.424 3.424 7.172
angles: 90.00 90.00 90.00
Atoms (fractional coordinates):
Sn (0.500, 0.500, 0.500)
Au (0.000, 0.000, 0.236)
Au (0.000, 0.000, 0.764)
Zr (0.500, 0.500, 0.000)

---

# 3
Compound: SmYAg2
Source: Alexandria
Functional: PBE-GGA
Structure: relaxed

DOS at the Fermi energy: 0.73 states/eV per atom
energy relative to the lowest polymorph listed for this composition: 2.0 kJ/mol of formula units
ΔH_f (0 K): -29 kJ/mol of atoms
space-group type: No. 225

abc: 5.209 5.209 5.208
angles: 59.99 59.99 60.00
Atoms (fractional coordinates):
Sm (0.500, 0.500, 0.500)
Ag (0.250, 0.250, 0.250)
Ag (0.750, 0.750, 0.750)
Y (0.000, 0.000, 0.000)

---

# 4
Compound: NbCo2Cu
Source: Alexandria
Functional: PBE-GGA
Structure: relaxed

DOS at the Fermi energy: 0.75 states/eV per atom
energy relative to the lowest polymorph listed for this composition: 22.3 kJ/mol of formula units
ΔH_f (0 K): -2 kJ/mol of atoms
space-group type: No. 123

abc: 3.078 3.078 5.406
angles: 90.00 90.00 90.00
Atoms (fractional coordinates):
Co (0.000, 0.000, 0.242)
Co (0.000, 0.000, 0.758)
Cu (0.500, 0.500, 0.000)
Nb (0.500, 0.500, 0.500)

---

# 5
Compound: HfGa3Co4
Source: Alexandria
Functional: PBE-GGA
Structure: relaxed

DOS at the Fermi energy: 0.55 states/eV per atom
ΔH_f (0 K): -36 kJ/mol of atoms
space-group type: No. 123

abc: 4.183 5.876 8.366
angles: 90.00 90.00 90.00
Atoms (fractional coordinates):
Co (0.500, 0.235, 0.500)
Co (0.500, 0.235, 0.000)
Co (0.500, 0.765, 0.500)
Co (0.500, 0.765, 0.000)
Co (0.001, 0.765, 0.250)
Co (0.001, 0.235, 0.250)
Co (0.999, 0.235, 0.750)
Co (0.999, 0.765, 0.750)
Ga (0.501, 0.000, 0.250)
Ga (0.500, 0.500, 0.750)
Ga (0.000, 0.000, 0.500)
Ga (0.000, 0.000, 0.000)
Ga (0.499, 0.000, 0.750)
Ga (0.500, 0.500, 0.250)
Hf (0.000, 0.500, 0.000)
Hf (0.000, 0.500, 0.500)

---

# 6
Compound: TmTh2Zr
Source: Alexandria
Functional: PBE-GGA
Structure: relaxed

DOS at the Fermi energy: 1.58 states/eV per atom
energy relative to the lowest polymorph listed for this composition: 7.7 kJ/mol of formula units
ΔH_f (0 K): 10 kJ/mol of atoms
space-group type: No. 160

abc: 3.472 3.472 11.404
angles: 81.24 81.24 60.00
Atoms (fractional coordinates):
Th (0.081, 0.081, 0.757)
Th (0.253, 0.253, 0.242)
Tm (0.498, 0.498, 0.506)
Zr (0.668, 0.668, 0.995)

---

# 7
Compound: UCdGa
Source: Alexandria
Functional: PBE-GGA
Structure: relaxed

DOS at the Fermi energy: 1.89 states/eV per atom
ΔH_f (0 K): 6 kJ/mol of atoms
space-group type: No. 156

abc: 2.984 2.984 8.089
angles: 90.00 90.00 120.00
Atoms (fractional coordinates):
Ga (0.333, 0.667, 0.665)
U (0.000, 0.000, 0.988)
Cd (0.667, 0.333, 0.347)

---

# 8
Compound: KCaPSe4
Source: Alexandria
Functional: PBE-GGA
Structure: relaxed

DOS at the Fermi energy: 0.00 states/eV per atom
space-group type: No. 11
final energy: -29.2 eV/f.u.

abc: 6.843 7.013 9.108
angles: 90.00 107.32 90.00
Atoms (fractional coordinates):
P (0.791, 0.250, 0.679)
P (0.209, 0.750, 0.321)
Se (0.002, 0.000, 0.721)
Se (0.002, 0.500, 0.721)
Se (0.998, 0.500, 0.279)
Se (0.397, 0.750, 0.566)
Se (0.998, 0.000, 0.279)
Se (0.402, 0.750, 0.164)
Se (0.603, 0.250, 0.434)
Se (0.598, 0.250, 0.836)
K (0.244, 0.250, 0.062)
K (0.756, 0.750, 0.938)
Ca (0.237, 0.250, 0.552)
Ca (0.763, 0.750, 0.448)

---

# 9
Compound: Li3AcO3
Source: Alexandria
Functional: PBE-GGA
Structure: relaxed

DOS at the Fermi energy: 0.00 states/eV per atom
space-group type: No. 148
final energy: -40.4 eV/f.u.

abc: 6.197 6.197 6.734
angles: 62.60 62.60 60.00
Atoms (fractional coordinates):
O (0.267, 0.546, 0.274)
O (0.454, 0.087, 0.726)
O (0.913, 0.267, 0.274)
O (0.733, 0.454, 0.726)
O (0.546, 0.913, 0.274)
O (0.087, 0.733, 0.726)
Li (0.163, 0.843, 0.388)
Li (0.837, 0.157, 0.612)
Li (0.605, 0.163, 0.388)
Li (0.843, 0.605, 0.388)
Li (0.395, 0.837, 0.612)
Li (0.157, 0.395, 0.612)
Ac (0.330, 0.330, 0.010)
Ac (0.670, 0.670, 0.990)

---

# 10
Compound: BeCuRe4
Source: Alexandria
Functional: PBE-GGA
Structure: relaxed

DOS at the Fermi energy: 0.71 states/eV per atom
ΔH_f (0 K): 77 kJ/mol of atoms
space-group type: No. 216

abc: 5.127 5.127 5.127
angles: 60.00 60.00 60.00
Atoms (fractional coordinates):
Cu (0.000, 0.000, 0.000)
Re (0.625, 0.125, 0.625)
Re (0.625, 0.625, 0.625)
Re (0.625, 0.625, 0.125)
Re (0.125, 0.625, 0.625)
Be (0.250, 0.250, 0.250)

---

# 11
Compound: La3GaCl
Source: Alexandria
Functional: PBE-GGA
Structure: relaxed

DOS at the Fermi energy: 1.09 states/eV per atom
energy relative to the lowest polymorph listed for this composition: 0.0 kJ/mol of formula units
space-group type: No. 12

abc: 7.735 7.735 9.437
angles: 81.28 81.28 33.18
Atoms (fractional coordinates):
La (0.866, 0.866, 0.451)
La (0.537, 0.537, 0.184)
La (0.463, 0.463, 0.816)
La (0.134, 0.134, 0.549)
La (0.266, 0.266, 0.153)
La (0.734, 0.734, 0.847)
Cl (0.311, 0.311, 0.654)
Cl (0.689, 0.689, 0.346)
Ga (0.089, 0.089, 0.933)
Ga (0.911, 0.911, 0.067)

---

# 12
Compound: Sm3YIr8
Source: Alexandria
Functional: PBE-GGA
Structure: relaxed

DOS at the Fermi energy: 0.80 states/eV per atom
ΔH_f (0 K): -73 kJ/mol of atoms
space-group type: No. 160

abc: 5.401 5.401 9.348
angles: 73.21 73.21 60.00
Atoms (fractional coordinates):
Ir (0.188, 0.188, 0.437)
Ir (0.437, 0.937, 0.189)
Ir (0.687, 0.687, 0.938)
Ir (0.438, 0.938, 0.686)
Ir (0.437, 0.437, 0.189)
Ir (0.937, 0.437, 0.189)
Ir (0.938, 0.938, 0.686)
Ir (0.938, 0.438, 0.686)
Y (0.875, 0.875, 0.375)
Sm (0.375, 0.375, 0.875)
Sm (0.500, 0.500, 0.500)
Sm (0.000, 0.000, 0.001)

---

# 13
Compound: Cu3SiO
Source: Alexandria
Functional: PBE-GGA
Structure: relaxed

DOS at the Fermi energy: 0.83 states/eV per atom
energy relative to the lowest polymorph listed for this composition: 0.0 kJ/mol of formula units
space-group type: No. 221

abc: 4.006 4.006 4.006
angles: 90.00 90.00 90.00
Atoms (fractional coordinates):
O (0.000, 0.000, 0.000)
Cu (0.000, 0.000, 0.500)
Cu (0.500, 0.000, 0.000)
Cu (0.000, 0.500, 0.000)
Si (0.500, 0.500, 0.500)

---

# 14
Compound: RbZnCl2F
Source: Alexandria
Functional: PBE-GGA
Structure: relaxed

DOS at the Fermi energy: 0.00 states/eV per atom
space-group type: No. 123
final energy: -16.6 eV/f.u.

abc: 5.109 4.118 5.109
angles: 90.00 90.00 90.00
Atoms (fractional coordinates):
Cl (0.500, 0.000, 0.000)
Cl (0.000, 0.000, 0.500)
Zn (0.000, 0.000, 0.000)
Rb (0.500, 0.500, 0.500)
F (0.000, 0.500, 0.000)

---

# 15
Compound: Pa3C2S
Source: Alexandria
Functional: PBE-GGA
Structure: relaxed

DOS at the Fermi energy: 0.61 states/eV per atom
energy relative to the lowest polymorph listed for this composition: 0.0 kJ/mol of formula units
space-group type: No. 71

abc: 3.660 5.294 6.437
angles: 114.28 106.52 90.00
Atoms (fractional coordinates):
Pa (0.817, 0.317, 0.134)
Pa (0.500, 0.000, 0.500)
Pa (0.183, 0.683, 0.866)
S (0.500, 0.500, 0.500)
C (0.835, 0.835, 0.170)
C (0.165, 0.165, 0.830)

---

# 16
Compound: Tl2CdBi2
Source: Alexandria
Functional: PBE-GGA
Structure: relaxed

DOS at the Fermi energy: 0.41 states/eV per atom
energy relative to the lowest polymorph listed for this composition: 45.5 kJ/mol of formula units
ΔH_f (0 K): 9 kJ/mol of atoms
space-group type: No. 139

abc: 4.561 4.561 9.201
angles: 75.65 75.65 90.00
Atoms (fractional coordinates):
Bi (0.750, 0.250, 0.500)
Bi (0.250, 0.750, 0.500)
Cd (0.000, 0.000, 0.000)
Tl (0.402, 0.402, 0.196)
Tl (0.598, 0.598, 0.804)

---

# 17
Compound: Rb4CO6
Source: Alexandria
Functional: PBE-GGA
Structure: relaxed

DOS at the Fermi energy: 0.08 states/eV per atom
space-group type: No. 1
final energy: -56.7 eV/f.u.

abc: 5.332 8.189 6.008
angles: 100.06 92.69 79.20
Atoms (fractional coordinates):
O (0.347, 0.246, 0.080)
O (0.419, 0.538, 0.791)
O (0.092, 0.990, 0.483)
O (0.503, 0.353, 0.066)
O (0.927, 0.773, 0.284)
O (0.789, 0.887, 0.639)
Rb (0.473, 0.660, 0.410)
Rb (0.473, 0.195, 0.563)
Rb (0.187, 0.920, 0.970)
Rb (0.936, 0.512, 0.923)
C (0.934, 0.884, 0.469)

---

# 18
Compound: KMo2W
Source: Alexandria
Functional: PBE-GGA
Structure: relaxed

DOS at the Fermi energy: 1.19 states/eV per atom
energy relative to the lowest polymorph listed for this composition: 275.2 kJ/mol of formula units
ΔH_f (0 K): 141 kJ/mol of atoms
space-group type: No. 12

abc: 5.678 5.678 2.640
angles: 80.88 80.88 115.71
Atoms (fractional coordinates):
Mo (0.500, 0.500, 0.000)
Mo (0.000, 0.000, 0.000)
W (0.500, 0.000, 0.500)
K (0.000, 0.500, 0.500)

---

# 19
Compound: TlHgF3
Source: Alexandria
Functional: PBE-GGA
Structure: relaxed

DOS at the Fermi energy: 0.00 states/eV per atom
space-group type: No. 11
final energy: -16.0 eV/f.u.

abc: 4.639 5.807 6.521
angles: 90.00 90.05 90.00
Atoms (fractional coordinates):
Hg (0.750, 0.250, 0.566)
Hg (0.250, 0.750, 0.434)
F (0.750, 0.750, 0.404)
F (0.250, 0.990, 0.141)
F (0.750, 0.490, 0.859)
F (0.250, 0.510, 0.141)
F (0.750, 0.010, 0.859)
F (0.250, 0.250, 0.596)
Tl (0.249, 0.750, 0.855)
Tl (0.751, 0.250, 0.145)

---

# 20
Compound: GeH3F
Source: Alexandria
Functional: PBE-GGA
Structure: relaxed

DOS at the Fermi energy: 0.00 states/eV per atom
energy relative to the lowest polymorph listed for this composition: 0.0 kJ/mol of formula units
space-group type: No. 1

abc: 4.847 4.358 6.982
angles: 89.98 90.05 89.90
Atoms (fractional coordinates):
H (0.073, 0.399, 0.612)
H (0.575, 0.954, 0.487)
H (0.034, 0.950, 0.298)
H (0.534, 0.402, 0.800)
H (0.571, 0.955, 0.113)
H (0.072, 0.399, 0.986)
F (0.719, 0.468, 0.299)
F (0.219, 0.885, 0.799)
Ge (0.224, 0.464, 0.799)
Ge (0.724, 0.889, 0.299)